Entry 1:
! Pm2DyY4, relaxed, DFT PBE; values from VASP
! Crystal system: monoclinic
! Space-group type: No. 12
! ΔE_f, kJ/mol of formula units: 28
! Total energy, eV per cell: -39.67
! V, A^3/atom: 33.0
&SYSTEM
  ibrav = 0, nat = 7, ntyp = 3
/
ATOMIC_SPECIES
Pm 145.00 Pm.upf
Dy 162.50 Dy.upf
Y 88.91 Y.upf
CELL_PARAMETERS angstrom
8.4676 -1.7866 0.0000
8.4676 1.7866 0.0000
-4.4070 0.0000 7.6307
ATOMIC_POSITIONS crystal
Pm 0.0696 0.0696 0.4307
Pm 0.9304 0.9304 0.5693
Dy 0.0000 0.0000 0.0000
Y 0.2956 0.2956 0.7075
Y 0.3558 0.3558 0.1566
Y 0.6442 0.6442 0.8434
Y 0.7044 0.7044 0.2925


Entry 2:
! PmDy5Y5, relaxed, DFT PBE; values from VASP
! Crystal system: hexagonal
! Space-group type: No. 187
! ΔE_f, kJ/mol of formula units: 317
! Total energy, eV per cell: -56.80
! V, A^3/atom: 33.7
&SYSTEM
  ibrav = 0, nat = 11, ntyp = 3
/
ATOMIC_SPECIES
Pm 145.00 Pm.upf
Dy 162.50 Dy.upf
Y 88.91 Y.upf
CELL_PARAMETERS angstrom
6.1022 0.0000 0.0000
-3.0511 5.2847 0.0000
0.0000 0.0000 11.4998
ATOMIC_POSITIONS crystal
Pm 0.0000 0.0000 0.0000
Dy 0.0030 0.5015 0.5000
Dy 0.4985 0.5015 0.5000
Dy 0.4985 0.9970 0.5000
Dy 0.6667 0.3333 0.2655
Dy 0.6667 0.3333 0.7345
Y 0.0000 0.0000 0.3245
Y 0.0000 0.0000 0.6755
Y 0.3333 0.6667 0.1608
Y 0.3333 0.6667 0.8392
Y 0.6667 0.3333 0.0000


Entry 3:
! PmDy2Y, relaxed, DFT PBE; values from VASP
! Crystal system: monoclinic
! Space-group type: No. 12
! ΔE_f, kJ/mol of formula units: 52
! Total energy, eV per cell: -39.77
! V, A^3/atom: 33.5
&SYSTEM
  ibrav = 0, nat = 8, ntyp = 3
/
ATOMIC_SPECIES
Pm 145.00 Pm.upf
Dy 162.50 Dy.upf
Y 88.91 Y.upf
CELL_PARAMETERS angstrom
6.5636 -1.7787 0.0000
6.5636 1.7787 0.0000
-0.7789 0.0000 11.4737
ATOMIC_POSITIONS crystal
Pm 0.1328 0.1328 0.0188
Pm 0.8672 0.8672 0.9812
Dy 0.2326 0.2326 0.7450
Dy 0.4914 0.4914 0.2268
Dy 0.5086 0.5086 0.7732
Dy 0.7674 0.7674 0.2550
Y 0.3674 0.3674 0.4996
Y 0.6326 0.6326 0.5004


Entry 4:
! Pm8Dy2Y, relaxed, DFT PBE; values from VASP
! Crystal system: monoclinic
! Space-group type: No. 12
! ΔE_f, kJ/mol of formula units: 175
! Total energy, eV per cell: -51.86
! V, A^3/atom: 34.3
&SYSTEM
  ibrav = 0, nat = 11, ntyp = 3
/
ATOMIC_SPECIES
Pm 145.00 Pm.upf
Dy 162.50 Dy.upf
Y 88.91 Y.upf
CELL_PARAMETERS angstrom
8.4075 -3.3946 0.0000
8.4075 3.3946 0.0000
-1.1756 0.0000 6.6078
ATOMIC_POSITIONS crystal
Pm 0.0924 0.0924 0.9118
Pm 0.1497 0.6742 0.5933
Pm 0.2558 0.2558 0.6828
Pm 0.3258 0.8503 0.4067
Pm 0.6742 0.1497 0.5933
Pm 0.7442 0.7442 0.3172
Pm 0.8503 0.3258 0.4067
Pm 0.9076 0.9076 0.0882
Dy 0.3011 0.3011 0.1938
Dy 0.6989 0.6989 0.8062
Y 0.5000 0.5000 0.0000


Entry 5:
! Pm2DyY5, relaxed, DFT PBE; values from VASP
! Crystal system: orthorhombic
! Space-group type: No. 55
! ΔE_f, kJ/mol of formula units: 15
! Total energy, eV per cell: -92.53
! V, A^3/atom: 32.6
&SYSTEM
  ibrav = 0, nat = 16, ntyp = 3
/
ATOMIC_SPECIES
Pm 145.00 Pm.upf
Dy 162.50 Dy.upf
Y 88.91 Y.upf
CELL_PARAMETERS angstrom
7.1769 0.0000 0.0000
0.0000 14.3550 0.0000
0.0000 0.0000 5.0657
ATOMIC_POSITIONS crystal
Pm 0.2493 0.1246 0.0000
Pm 0.2507 0.6246 0.0000
Pm 0.7493 0.3754 0.0000
Pm 0.7507 0.8754 0.0000
Dy 0.0000 0.0000 0.5000
Dy 0.5000 0.5000 0.5000
Y 0.9999 0.2495 0.5000
Y 0.0000 0.5000 0.5000
Y 0.0001 0.7505 0.5000
Y 0.2505 0.3753 0.0000
Y 0.2495 0.8753 0.0000
Y 0.5000 0.0000 0.5000
Y 0.4999 0.2505 0.5000
Y 0.5001 0.7495 0.5000
Y 0.7505 0.1247 0.0000
Y 0.7495 0.6247 0.0000


Entry 6:
! Pm4Dy3Y4, relaxed, DFT PBE; values from VASP
! Crystal system: triclinic
! Space-group type: No. 2
! ΔE_f, kJ/mol of formula units: 56
! Total energy, eV per cell: -58.09
! V, A^3/atom: 32.7
&SYSTEM
  ibrav = 0, nat = 11, ntyp = 3
/
ATOMIC_SPECIES
Pm 145.00 Pm.upf
Dy 162.50 Dy.upf
Y 88.91 Y.upf
CELL_PARAMETERS angstrom
3.5383 0.0000 0.0000
-0.0001 5.6567 0.0000
-1.7660 -2.8218 17.9911
ATOMIC_POSITIONS crystal
Pm 0.0456 0.0467 0.0915
Pm 0.1795 0.6801 0.3597
Pm 0.8205 0.3199 0.6403
Pm 0.9544 0.9533 0.9085
Dy 0.3634 0.8629 0.7262
Dy 0.5000 0.5000 0.0000
Dy 0.6366 0.1371 0.2738
Y 0.0903 0.5915 0.1812
Y 0.2332 0.2331 0.4660
Y 0.7668 0.7669 0.5340
Y 0.9097 0.4085 0.8188


Entry 7:
! Pm5DyY12, relaxed, DFT PBE; values from VASP
! Crystal system: monoclinic
! Space-group type: No. 10
! ΔE_f, kJ/mol of formula units: 36
! Total energy, eV per cell: -105.55
! V, A^3/atom: 32.8
&SYSTEM
  ibrav = 0, nat = 18, ntyp = 3
/
ATOMIC_SPECIES
Pm 145.00 Pm.upf
Dy 162.50 Dy.upf
Y 88.91 Y.upf
CELL_PARAMETERS angstrom
10.7645 0.0000 0.0000
0.0000 5.0812 0.0000
-0.0187 0.0000 10.7794
ATOMIC_POSITIONS crystal
Pm 0.0000 0.0000 0.0000
Pm 0.1668 0.5000 0.8332
Pm 0.3341 0.0000 0.6658
Pm 0.6659 0.0000 0.3342
Pm 0.8332 0.5000 0.1668
Dy 0.5000 0.5000 0.5000
Y 0.0004 0.0000 0.3342
Y 0.9996 0.0000 0.6658
Y 0.1673 0.5000 0.1672
Y 0.1673 0.5000 0.4997
Y 0.3342 0.0000 0.0004
Y 0.3337 0.0000 0.3338
Y 0.4996 0.5000 0.1674
Y 0.5004 0.5000 0.8326
Y 0.6658 0.0000 0.9996
Y 0.6663 0.0000 0.6662
Y 0.8327 0.5000 0.5003
Y 0.8327 0.5000 0.8328


Entry 8:
! PmDy4Y7, relaxed, DFT PBE; values from VASP
! Crystal system: monoclinic
! Space-group type: No. 12
! ΔE_f, kJ/mol of formula units: 329
! Total energy, eV per cell: -64.99
! V, A^3/atom: 33.4
&SYSTEM
  ibrav = 0, nat = 12, ntyp = 3
/
ATOMIC_SPECIES
Pm 145.00 Pm.upf
Dy 162.50 Dy.upf
Y 88.91 Y.upf
CELL_PARAMETERS angstrom
6.0474 -2.9382 0.0000
6.0474 2.9382 0.0000
-5.8668 0.0000 11.2698
ATOMIC_POSITIONS crystal
Pm 0.0000 0.0000 0.0000
Dy 0.2476 0.2476 0.6824
Dy 0.3642 0.3642 0.2252
Dy 0.6358 0.6358 0.7748
Dy 0.7524 0.7524 0.3176
Y 0.0592 0.0592 0.3264
Y 0.2106 0.2106 0.9225
Y 0.3652 0.3652 0.4972
Y 0.5000 0.5000 0.0000
Y 0.6348 0.6348 0.5028
Y 0.7894 0.7894 0.0775
Y 0.9408 0.9408 0.6736